*one*
# PBE Ac2PrCd2, optimized geometry
data_Ac2PrCd2
_cell_length_a 4.016
_cell_length_b 22.167
_cell_length_c 3.951
_cell_angle_alpha 90.00
_cell_angle_beta 90.00
_cell_angle_gamma 90.00
_space_group_name_H-M_alt 'P 1'
_space_group_IT_number 1
_space_group_name_Hall 'P 1'
loop_
_atom_site_label
_atom_site_fract_x
_atom_site_fract_y
_atom_site_fract_z
Ac1 0.000 0.175 0.000
Ac2 0.000 0.825 0.000
Ac3 0.500 0.325 0.000
Ac4 0.500 0.675 0.000
Pr1 0.000 0.000 0.000
Pr2 0.500 0.500 0.000
Cd1 0.000 0.419 0.500
Cd2 0.000 0.581 0.500
Cd3 0.500 0.081 0.500
Cd4 0.500 0.919 0.500
# D(E_F), states/eV/cell: 13.5


*two*
# PBE Ac2PrCd2, optimized geometry
data_Ac2PrCd2
_cell_length_a 8.450
_cell_length_b 8.450
_cell_length_c 8.450
_cell_angle_alpha 120.46
_cell_angle_beta 77.87
_cell_angle_gamma 134.69
_space_group_name_H-M_alt 'P 1'
_space_group_IT_number 1
_space_group_name_Hall 'P 1'
loop_
_atom_site_label
_atom_site_fract_x
_atom_site_fract_y
_atom_site_fract_z
Ac1 0.204 0.156 0.360
Ac2 0.296 0.656 0.952
Ac3 0.704 0.344 0.048
Ac4 0.796 0.844 0.640
Pr1 0.250 0.750 0.500
Pr2 0.750 0.250 0.500
Cd1 0.056 0.832 0.888
Cd2 0.444 0.332 0.776
Cd3 0.556 0.668 0.224
Cd4 0.944 0.168 0.112
# D(E_F), states/eV/cell: 14.8


Relative to the most stable one, in meV per atom, the structures come out at *one* 0; *two* 106.